DFT (PBE) results for crystalline CeNdS2 at its relaxed geometry.

The density comes out at 6.11 g cm⁻³. The calculation puts the energy relative to the lowest polymorph listed for this composition at 3.1 kJ per mole of atoms. The energy relative to the elements, uncorrected comes out at -2009 meV/atom. As for the total magnetization: 1.0 μB per formula unit. Its uncorrected energy is -6.7479 eV per atom.

The space group is P6_3/mmc (No. 194) and the conventional cell measures 3.9997, 3.9997 and 13.6616 Å, with angles of 90.00, 90.00 and 120.00 degrees. The inequivalent atoms are Ce at (0.0000, 0.0000, 0.0000), Nd at (0.3333, 0.6667, 0.2500) and S at (0.3333, 0.6667, 0.6226).